Compound: PaVPbO6
Source: Alexandria via LeMat-Bulk
Functional: PBE+U
Structure: optimized geometry

a = 5.532 Å, b = 5.532 Å, c = 10.437 Å
α = 90.00°, β = 90.00°, γ = 120.00°
Sites, in units of the cell vectors:
Pa (0.333, 0.667, 0.250)
Pb (0.000, 0.000, 0.000)
V (0.667, 0.333, 0.250)
O (0.392, 0.035, 0.148)
O (0.965, 0.357, 0.148)
Pb (0.000, 0.000, 0.500)
O (0.392, 0.357, 0.352)
O (0.643, 0.608, 0.148)
O (0.035, 0.392, 0.648)
Pa (0.667, 0.333, 0.750)
O (0.643, 0.035, 0.352)
O (0.608, 0.965, 0.852)
O (0.965, 0.608, 0.352)
O (0.035, 0.643, 0.852)
O (0.357, 0.965, 0.648)
V (0.333, 0.667, 0.750)
O (0.608, 0.643, 0.648)
O (0.357, 0.392, 0.852)

Results
* total DFT energy (no corrections): -7.949 eV/atom
* SG: P-31c
* magnetic moment: 0.000 Bohr magnetons per cell